No. 1
{"formula": "ReWSe3", "functional": "PBEsol", "state": "relaxed", "raw_formation_energy_mev_per_atom": 1418, "magmom_total_mub_per_fu": 5.08, "n_ef_per_ev_fu": 3.83, "lattice": [[4.8688, 0.0000, 0.0000], [0.0000, 4.8688, 0.0000], [0.0000, 0.0000, 4.8688]], "species": ["Re", "W", "Se", "Se", "Se"], "frac_coords": [[0.0000, 0.0000, 0.0000], [0.5000, 0.5000, 0.5000], [0.0000, 0.5000, 0.5000], [0.5000, 0.0000, 0.5000], [0.5000, 0.5000, 0.0000]]}


No. 2
{"formula": "YRe2Se", "functional": "PBEsol", "state": "relaxed", "raw_formation_energy_mev_per_atom": 174, "magmom_total_mub_per_fu": 0.00, "n_ef_per_ev_fu": 2.28, "lattice": [[3.7416, 0.0000, 0.0000], [0.0000, 3.7416, 0.0000], [0.0000, 0.0000, 5.0715]], "species": ["Y", "Re", "Re", "Se"], "frac_coords": [[0.0000, 0.0000, 0.0000], [0.0000, 0.5000, 0.5000], [0.5000, 0.0000, 0.5000], [0.5000, 0.5000, 0.0000]]}


No. 3
{"formula": "YRe2Se", "functional": "PBEsol", "state": "relaxed", "raw_formation_energy_mev_per_atom": 204, "magmom_total_mub_per_fu": 0.00, "n_ef_per_ev_fu": 2.69, "lattice": [[5.3178, 0.0000, 0.0000], [0.0000, 10.6415, 0.0000], [-2.0236, 0.0000, 2.5868]], "species": ["Y", "Y", "Re", "Re", "Re", "Re", "Se", "Se"], "frac_coords": [[0.0000, 0.0000, 0.0000], [0.5000, 0.5000, 0.0000], [0.2500, 0.2500, 0.0000], [0.2500, 0.7500, 0.0000], [0.7500, 0.2500, 0.0000], [0.7500, 0.7500, 0.0000], [0.0000, 0.5000, 0.0000], [0.5000, 0.0000, 0.0000]]}


No. 4
{"formula": "Zr2ReSe", "functional": "PBEsol", "state": "relaxed", "raw_formation_energy_mev_per_atom": -239, "magmom_total_mub_per_fu": 0.00, "n_ef_per_ev_fu": 3.09, "lattice": [[4.3760, 0.0000, 0.0000], [0.0000, 4.3760, 0.0000], [0.0000, 0.0000, 7.5170]], "species": ["Zr", "Zr", "Zr", "Zr", "Re", "Re", "Se", "Se"], "frac_coords": [[0.0000, 0.5000, 0.2500], [0.0000, 0.5000, 0.7500], [0.5000, 0.0000, 0.2500], [0.5000, 0.0000, 0.7500], [0.0000, 0.0000, 0.0000], [0.5000, 0.5000, 0.5000], [0.0000, 0.0000, 0.5000], [0.5000, 0.5000, 0.0000]]}


No. 5
{"formula": "Re2Si", "functional": "PBEsol", "state": "relaxed", "e_above_lowest_polymorph_ev_per_atom": 0.030, "raw_formation_energy_mev_per_atom": -277, "magmom_total_mub_per_fu": 0.00, "n_ef_per_ev_fu": 1.23, "lattice": [[2.9084, 0.0000, 0.0000], [0.0000, 2.9084, 0.0000], [0.0000, 0.0000, 9.5147]], "species": ["Re", "Re", "Re", "Re", "Si", "Si"], "frac_coords": [[0.0000, 0.0000, 0.1581], [0.0000, 0.0000, 0.8419], [0.5000, 0.5000, 0.3419], [0.5000, 0.5000, 0.6581], [0.0000, 0.0000, 0.5000], [0.5000, 0.5000, 0.0000]]}


No. 6
{"formula": "ReSi3", "functional": "PBEsol", "state": "relaxed", "raw_formation_energy_mev_per_atom": 113, "magmom_total_mub_per_fu": 0.00, "n_ef_per_ev_fu": 1.62, "lattice": [[3.3551, 0.0000, 0.0000], [0.0000, 3.3551, 0.0000], [0.0000, 0.0000, 20.3766]], "species": ["Re", "Re", "Re", "Re", "Si", "Si", "Si", "Si", "Si", "Si", "Si", "Si", "Si", "Si", "Si", "Si"], "frac_coords": [[0.0000, 0.0000, 0.1615], [0.0000, 0.0000, 0.8385], [0.5000, 0.5000, 0.3385], [0.5000, 0.5000, 0.6615], [0.0000, 0.0000, 0.3972], [0.0000, 0.0000, 0.6028], [0.0000, 0.5000, 0.0000], [0.0000, 0.5000, 0.2500], [0.0000, 0.5000, 0.5000], [0.0000, 0.5000, 0.7500], [0.5000, 0.0000, 0.0000], [0.5000, 0.0000, 0.2500], [0.5000, 0.0000, 0.5000], [0.5000, 0.0000, 0.7500], [0.5000, 0.5000, 0.1028], [0.5000, 0.5000, 0.8972]]}


No. 7
{"formula": "Re3Si", "functional": "PBEsol", "state": "relaxed", "e_above_lowest_polymorph_ev_per_atom": 0.000, "raw_formation_energy_mev_per_atom": -137, "magmom_total_mub_per_fu": 0.01, "n_ef_per_ev_fu": 2.56, "lattice": [[2.8852, 0.0000, 0.0000], [0.0000, 2.8852, 0.0000], [0.0000, 0.0000, 6.6238]], "species": ["Re", "Re", "Re", "Si"], "frac_coords": [[0.0000, 0.0000, 0.0000], [0.5000, 0.5000, 0.2713], [0.5000, 0.5000, 0.7287], [0.0000, 0.0000, 0.5000]]}


No. 8
{"formula": "ReSi3", "functional": "PBEsol", "state": "relaxed", "raw_formation_energy_mev_per_atom": 153, "magmom_total_mub_per_fu": 0.00, "n_ef_per_ev_fu": 2.22, "lattice": [[3.0409, 0.0000, 0.0000], [0.0000, 4.2698, 0.0000], [0.0000, 0.0000, 4.1693]], "species": ["Re", "Si", "Si", "Si"], "frac_coords": [[0.0000, 0.0000, 0.0000], [0.0000, 0.5000, 0.3081], [0.5000, 0.0000, 0.4814], [0.5000, 0.5000, 0.8095]]}


No. 9
{"formula": "Re3Si", "functional": "PBEsol", "state": "relaxed", "e_above_lowest_polymorph_ev_per_atom": 0.003, "raw_formation_energy_mev_per_atom": -134, "magmom_total_mub_per_fu": 0.00, "n_ef_per_ev_fu": 2.53, "lattice": [[2.8406, 0.0000, 0.0000], [-1.4203, 2.4600, 0.0000], [0.0000, 0.0000, 8.0416]], "species": ["Re", "Re", "Re", "Si"], "frac_coords": [[0.0000, 0.0000, 0.0000], [0.6667, 0.3333, 0.2655], [0.6667, 0.3333, 0.7345], [0.0000, 0.0000, 0.5000]]}


No. 10
{"formula": "Re3Si", "functional": "PBEsol", "state": "relaxed", "e_above_lowest_polymorph_ev_per_atom": 0.013, "raw_formation_energy_mev_per_atom": -124, "magmom_total_mub_per_fu": 0.00, "n_ef_per_ev_fu": 2.07, "lattice": [[2.9287, 0.0000, 0.0000], [0.0000, 4.3636, 0.0000], [0.0000, 0.0000, 8.6342]], "species": ["Re", "Re", "Re", "Re", "Re", "Re", "Si", "Si"], "frac_coords": [[0.0000, 0.0000, 0.0000], [0.0000, 0.5000, 0.2302], [0.0000, 0.5000, 0.7698], [0.5000, 0.0000, 0.2698], [0.5000, 0.0000, 0.7302], [0.5000, 0.5000, 0.5000], [0.0000, 0.0000, 0.5000], [0.5000, 0.5000, 0.0000]]}


No. 11
{"formula": "ReSi2", "functional": "PBEsol", "state": "relaxed", "raw_formation_energy_mev_per_atom": -288, "magmom_total_mub_per_fu": 0.00, "n_ef_per_ev_fu": 1.25, "lattice": [[3.1656, 0.0000, 0.0000], [0.0000, 3.1656, 0.0000], [0.0000, 0.0000, 7.7941]], "species": ["Re", "Re", "Si", "Si", "Si", "Si"], "frac_coords": [[0.0000, 0.0000, 0.0000], [0.5000, 0.5000, 0.5000], [0.0000, 0.0000, 0.3315], [0.0000, 0.0000, 0.6685], [0.5000, 0.5000, 0.1685], [0.5000, 0.5000, 0.8315]]}


No. 12
{"formula": "Re2Si", "functional": "PBEsol", "state": "relaxed", "e_above_lowest_polymorph_ev_per_atom": 0.216, "raw_formation_energy_mev_per_atom": -91, "magmom_total_mub_per_fu": 0.00, "n_ef_per_ev_fu": 1.97, "lattice": [[2.7750, 0.0000, 0.0000], [-1.3875, 2.4033, 0.0000], [0.0000, 0.0000, 6.2935]], "species": ["Re", "Re", "Si"], "frac_coords": [[0.3333, 0.6667, 0.3311], [0.6667, 0.3333, 0.6689], [0.0000, 0.0000, 0.0000]]}